1.
A plane-wave DFT calculation with PBE was carried out for crystalline ScPbCl at its relaxed geometry.

Values from the calculation:
Offset from the most stable computed form: 0.8974 eV per atom
Uncorrected formation energy: -0.06 eV/atom
Magnetization: 0.00 μB/cell
Calculated volume: 80 Å³ per cell
VASP energy: -4.025 eV per atom
ρ: 5.9 Mg/m³

```
ScPbCl
1.0
-1.146 -0.892 4.622
-3.190 -3.484 1.076
1.501 -4.088 2.123
Sc Cl Pb
1 1 1
Direct
0.500 0.500 0.500 Sc
0.250 0.250 0.250 Cl
0.000 0.000 0.000 Pb
```

2.
A plane-wave DFT calculation with PBE was carried out for crystalline ScPbCl at its relaxed geometry.

Values from the calculation:
Offset from the most stable computed form: 0.0822 eV per atom
Uncorrected formation energy: -0.88 eV/atom
Magnetization: 0.00 μB/cell
Calculated volume: 79 Å³ per cell
VASP energy: -4.840 eV per atom
ρ: 6.0 Mg/m³

```
ScPbCl
1.0
-1.294 -4.824 5.859
1.961 -4.406 6.001
-0.375 2.058 2.532
Cl Pb Sc
1 1 1
Direct
0.051 0.051 0.949 Cl
0.306 0.306 0.694 Pb
0.643 0.643 0.357 Sc
```